Tl2BPBr: optimized geometry, PBE.

```
Tl2BPBr
1.0
6.2801 0.0000 0.0000
0.0000 3.5015 0.0000
0.0000 0.0000 6.2801
P Tl B Br
1 2 1 1
direct
0.0000 0.0000 0.0000
0.0000 0.0000 0.5000
0.5000 0.0000 0.0000
0.0000 0.5000 0.0000
0.5000 0.5000 0.5000
```

Properties
Its space-group type is P4/mmm, No. 123. As for the total energy: -3.5382 eV/atom. As for the uncorrected formation energy: 0.16 eV/atom.